The following is a PBE-GGA calculation of a geometry-optimized NdMoSe3 structure, from the Open Quantum Materials Database.

Lattice parameters (Å, degrees): 8.0346 3.8493 14.2209 90.00 90.00 90.00
Last column: nearest neighbours and their distance in Å.
Atoms (fractional coordinates):
Nd 0.0904 0.2500 0.1660  9 Se 3.06-3.17
Nd 0.4096 0.7500 0.6660  9 Se 3.06-3.17
Nd 0.5904 0.2500 0.3340  9 Se 3.06-3.17
Nd 0.9096 0.7500 0.8340  9 Se 3.06-3.17
Mo 0.1150 0.7500 0.4610  6 Se 2.46-2.74
Mo 0.3850 0.2500 0.9610  6 Se 2.46-2.74
Mo 0.6150 0.7500 0.0390  6 Se 2.46-2.74
Mo 0.8850 0.2500 0.5390  6 Se 2.46-2.74
Se 0.0286 0.7500 0.6269  3 Mo 2.46-2.57
Se 0.1634 0.7500 0.0043  2 Mo 2.69
Se 0.2035 0.2500 0.7979  1 Mo 2.74
Se 0.2965 0.7500 0.2979  1 Mo 2.74
Se 0.3366 0.2500 0.5043  2 Mo 2.69
Se 0.4714 0.2500 0.1269  3 Mo 2.46-2.57
Se 0.5286 0.7500 0.8731  3 Mo 2.46-2.57
Se 0.6634 0.7500 0.4957  2 Mo 2.69
Se 0.7035 0.2500 0.7021  1 Mo 2.74
Se 0.7965 0.7500 0.2021  1 Mo 2.74
Se 0.8366 0.2500 0.9957  2 Mo 2.69
Se 0.9714 0.2500 0.3731  3 Mo 2.46-2.57

Summary:
M_tot: 0.053 μB per atom
SG: Pnma (62)
Electronic total energy: -6.3170 eV/atom